Record 1
VASP calculation (GGA-PBE) on an optimized crystal structure of TlFeIr2I.

extended XYZ file:
```
5
Lattice="-2.459 -2.030 3.303 -3.285 -1.928 -3.631 2.611 -3.759 -0.366" Properties=species:S:1:pos:R:3 pbc="T T T"
Ir 1.305 -1.879 -0.183
Ir -1.230 -1.015 1.651
I -1.642 -0.964 -1.815
Fe 0.000 0.000 0.000
Tl -1.567 -3.858 -0.347
```

Results
The uncorrected formation energy is 1185 meV per atom. The space-group type is P4/mmm.



Record 2
VASP calculation (GGA-PBE) on an optimized crystal structure of PuNpSe4.

extended XYZ file:
```
12
Lattice="6.777 0.000 0.061 0.000 6.778 0.000 -0.040 0.000 6.788" Properties=species:S:1:pos:R:3 pbc="T T T"
Se 5.053 1.691 5.116
Se 1.665 1.697 5.086
Se 1.665 5.080 5.086
Se 5.053 5.086 5.116
Se 1.684 1.691 1.733
Se 5.072 5.080 1.763
Se 1.684 5.086 1.733
Se 5.072 1.697 1.763
Np -0.020 3.389 3.394
Np 3.368 0.000 3.425
Pu 3.389 3.389 0.031
Pu 0.000 0.000 0.000
```

Results
The uncorrected formation energy is -1127 meV per atom. The space-group type is C2/m.



Record 3
VASP calculation (GGA-PBE) on an optimized crystal structure of CaTiMn2.

extended XYZ file:
```
8
Lattice="4.580 0.000 0.000 0.000 4.580 0.000 2.290 2.290 8.353" Properties=species:S:1:pos:R:3 pbc="T T T"
Mn 4.583 3.435 2.088
Mn 4.577 1.145 2.088
Mn 3.435 2.293 6.265
Mn 5.725 2.287 6.265
Ti 4.580 2.290 4.177
Ti 0.000 0.000 0.000
Ca 2.290 2.290 0.000
Ca 2.290 4.580 4.177
```

Results
The space-group type is I4_1/amd. The formation energy is 0.8210 eV/atom.



Record 4
VASP calculation (GGA-PBE) on an optimized crystal structure of Rb3TbBi2Se6.

extended XYZ file:
```
12
Lattice="-3.611 6.149 2.328 2.504 -4.998 5.002 7.335 3.542 -2.006" Properties=species:S:1:pos:R:3 pbc="T T T"
Se 4.019 5.544 3.602
Se 0.210 2.793 0.848
Se 2.209 -0.851 1.722
Se 6.018 1.899 4.476
Se 0.651 1.561 5.022
Se 5.577 3.132 0.302
Rb 5.135 -1.339 3.546
Rb 1.092 6.032 1.778
Rb 3.114 2.346 2.662
Bi 0.464 -1.279 4.110
Bi -1.570 2.430 3.220
Tb 0.000 0.000 0.000
```

Results
The uncorrected formation energy is -1106 meV per atom. The space-group type is C2/m.



| no. | density (g cm⁻³) |
| --- | --- |
| 1 | 11.55 |
| 2 | 8.49 |
| 3 | 3.75 |
| 4 | 5.56 |